A plane-wave DFT calculation with GGA+U was carried out for NdTl2MoO8 after structural relaxation.

extended XYZ file:
```
12
Lattice="5.101 -0.046 -0.003 -0.020 5.095 -0.005 0.004 0.008 6.897" Properties=species:S:1:pos:R:3 pbc="T T T"
Nd 0.002 0.004 3.449
Tl 2.544 2.530 5.231
Tl 2.542 2.526 1.658
Mo 0.000 0.000 0.000
O 0.899 4.168 1.412
O 3.658 3.644 6.891
O 4.184 0.884 1.414
O 4.187 0.889 5.476
O 1.428 1.413 -0.002
O 0.901 4.173 5.475
O 3.479 3.469 3.443
O 1.607 1.588 3.446
```

Computed properties:
* ρ: 7.20 g cm⁻³
* E_tot: -6.07 eV per atom
* total moment: 1.08 μB/f.u.